--- A ---
The following is a DFT calculation (GGA-PBE) of crystalline GeTe3F at its relaxed geometry.

The structure in POSCAR format:
```
GeTe3F
1.0
5.316 0.000 0.000
0.000 5.316 0.000
0.000 0.000 5.316
F Te Ge
1 3 1
Direct
0.500 0.500 0.500
0.500 0.000 0.000
0.000 0.500 0.000
0.000 0.000 0.500
0.000 0.000 0.000
```

Computed properties:
* space-group type: No. 221
* magnetization: 0.0 μB per formula unit

---

--- B ---
The following is a DFT calculation (GGA-PBE) of crystalline GeTe3F at its relaxed geometry.

The structure in POSCAR format:
```
GeTe3F
1.0
-1.101 4.171 2.492
-4.760 -0.416 -1.407
-0.970 -2.692 4.078
F Ge Te
1 1 3
Direct
0.000 0.000 0.000
0.500 0.500 0.500
0.500 0.000 0.000
0.000 0.000 0.500
0.000 0.500 0.000
```

Computed properties:
* space-group type: No. 221
* magnetization: 0.0 μB per formula unit

---

Least stable of them? A.

---

--- A ---
The following is a DFT calculation (GGA-PBE) of crystalline Ge2TeF2 at its relaxed geometry.

The structure in POSCAR format:
```
Ge2TeF2
1.0
-7.318 1.092 -2.402
-2.628 -3.644 6.351
-0.089 2.584 1.446
F Te Ge
4 2 4
Direct
0.112 0.388 0.000
0.388 0.888 0.000
0.888 0.612 0.000
0.612 0.112 0.000
0.500 0.500 0.000
0.000 0.000 0.000
0.655 0.845 0.500
0.155 0.655 0.500
0.845 0.345 0.500
0.345 0.155 0.500
```

Computed properties:
* space-group type: No. 127
* magnetization: 0.0 μB per formula unit

---

--- B ---
The following is a DFT calculation (GGA-PBE) of crystalline Ge2TeF2 at its relaxed geometry.

The structure in POSCAR format:
```
Ge2TeF2
1.0
-0.198 -0.242 4.578
-3.766 -2.603 -0.300
0.562 -5.092 2.054
Ge F Te
2 2 1
Direct
0.250 0.750 0.500
0.750 0.250 0.500
0.659 0.659 0.682
0.341 0.341 0.318
0.000 0.000 0.000
```

Computed properties:
* space-group type: No. 139
* magnetization: 0.0 μB per formula unit

---

Least stable of them? A.

---

--- A ---
The following is a DFT calculation (GGA-PBE) of crystalline ThGeF at its relaxed geometry.

The structure in POSCAR format:
```
ThGeF
1.0
-1.406 3.813 0.254
-3.642 -3.638 1.793
5.062 1.533 5.040
Ge F Th
2 2 2
Direct
0.944 0.387 0.122
0.056 0.613 0.878
0.305 0.109 0.429
0.695 0.891 0.571
0.307 0.115 0.772
0.693 0.885 0.228
```

Computed properties:
* space-group type: No. 12
* magnetization: 0.0 μB per formula unit

---

--- B ---
The following is a DFT calculation (GGA-PBE) of crystalline ThGeF at its relaxed geometry.

The structure in POSCAR format:
```
ThGeF
1.0
-0.328 1.748 3.891
-3.409 -2.253 0.725
3.736 -1.511 0.993
Th F Ge
1 1 1
Direct
0.167 0.667 0.333
0.167 0.000 0.000
0.667 0.333 0.667
```

Computed properties:
* space-group type: No. 187
* magnetization: 0.0 μB per formula unit

---

Least stable of them? B.